Computed, not measured: crystalline CuPb5 at its relaxed geometry at the PBE level of DFT.

- polymorph energy (0 for the lowest one) (eV/f.u.) = 0.337
- formation energy from the elements (meV per atom) = 163.2
- N(E_F) (states/eV per cell) = 4.75

Cell: 4.5756 14.4776 5.2286 Å, 90.00 90.00 90.00°
Closest atoms and distances in Å follow each position.
Space group Cmmm (No. 65)
Asymmetric unit:
Cu: 0.0000 0.0000 0.0000  8 Pb 3.12-3.47
Pb: 0.0000 0.1641 0.5000  8 Pb 3.30-3.48, 2 Cu 3.53
Pb: 0.0000 0.3539 0.0000  2 Cu 3.12, 6 Pb 3.36-3.48
Pb: 0.0000 0.5000 0.5000  8 Pb 3.30-3.36, 4 Cu 3.47

=====

Computed, not measured: crystalline YReC2 at its relaxed geometry at the PBE level of DFT.

- polymorph energy (0 for the lowest one) (eV/f.u.) = 1.410
- formation energy from the elements (meV per atom) = 186.4
- N(E_F) (states/eV per cell) = 9.02

Cell: 4.9476 4.9476 10.3606 Å, 90.00 90.00 90.00°
Closest atoms and distances in Å follow each position.
Space group I-42d (No. 122)
Asymmetric unit:
Y: 0.0000 0.0000 0.0000  4 C 2.45
Re: 0.0000 0.0000 0.5000  4 C 1.96
C: 0.1618 0.2500 0.6250  2 Re 1.96

=====

Computed, not measured: crystalline SrLiAgF6 at its relaxed geometry at the PBE level of DFT.

- E_form (uncorrected) (eV/atom) = -2.411

Cell: 5.4210 5.4210 5.3240 Å, 90.00 90.00 120.00°
Closest atoms and distances in Å follow each position.
Space group P312 (No. 149)
Asymmetric unit:
Sr: 0.0000 0.0000 0.0000  6 F 2.46
Li: 0.3333 0.6667 0.5000  6 F 2.07
Ag: 0.6667 0.3333 0.5000  6 F 2.12
F: 0.0067 0.3633 0.7189  1 Li 2.07, 1 Ag 2.12

=====

Computed, not measured: crystalline Ac4AgRu at its relaxed geometry at the PBE level of DFT.

- polymorph energy (0 for the lowest one) (eV/f.u.) = 0.000
- formation energy from the elements (meV per atom) = -173.6
- N(E_F) (states/eV per cell) = 81.42

Cell: 14.7525 14.7525 14.7525 Å, 90.00 90.00 90.00°
Closest atoms and distances in Å follow each position.
Space group F-43m (No. 216)
Asymmetric unit:
Ac: 0.0000 0.0000 0.1888  2 Ru 2.97
Ac: 0.0608 0.2500 0.2500  2 Ag 3.52, 6 Ac 3.75-3.90, 2 Ru 3.75
Ac: 0.1531 0.1531 0.6531  3 Ru 3.10
Ag: 0.0819 0.0819 0.4181  3 Ag 3.42, 9 Ac 3.52-3.79
Ru: 0.1376 0.1376 0.8624  6 Ac 2.97-3.10